Density functional theory data (PBE) for Cs3GaO3 after structural relaxation.

The space group is Cmce (No. 64) and the conventional cell measures 16.898, 7.238 and 11.432 Å, with angles of 90.00, 90.00 and 90.00 degrees. The distinct sites, in fractional coordinates, are Cs at (0.000, 0.139, 0.180), Cs at (0.180, 0.174, 0.869), Ga at (0.081, 0.000, 0.500), O at (0.000, 0.172, 0.445) and O at (0.142, 0.098, 0.621).

For the density of states at the Fermi level, the calculation gives 0.0 states/eV/cell. The calculated total energy is -30.897 eV/f.u. Its volume is 24.97 Å³/atom. Its excess energy over the best structure of this formula in the dataset is 0.020 eV per atom. The uncorrected formation energy comes out at -1.491 eV/atom.